Material: YPaPb2O8
Method: DFT, PBE-GGA
State: relaxed

## Properties
formation energy from raw total energies = -2.07 eV per atom

Cell lengths 6.2733, 6.2733, 6.2733 Å; angles 109.54, 109.54, 109.34 degrees
With the nearest neighbours (Å) after each atom.
Fractional coordinates of all 12 atoms:
Pb1 0.5000 0.5000 0.0000  4 O 2.08
Pb2 0.7500 0.2500 0.5000  4 O 2.08
O1 0.9623 0.2693 0.3070  1 Pb 2.08, 1 Pa 2.24
O2 0.9623 0.6553 0.6930  1 Pb 2.08, 1 Pa 2.24
O3 0.2788 0.4622 0.1833  1 Pb 2.08, 1 Y 2.30
O4 0.7307 0.0377 0.6930  1 Pb 2.08, 1 Pa 2.24
O5 0.2788 0.0955 0.8167  1 Pb 2.08, 1 Y 2.30
O6 0.5378 0.7212 0.8167  1 Pb 2.08, 1 Y 2.30
O7 0.9045 0.7212 0.1833  1 Pb 2.08, 1 Y 2.30
O8 0.3447 0.0377 0.3070  1 Pb 2.08, 1 Pa 2.24
Pa1 0.0000 0.0000 0.0000  8 O 2.24-2.42
Y1 0.2500 0.7500 0.5000  8 O 2.30-2.51